1.
Material: U2TeO2
Method: DFT, meta-GGA SCAN
State: single point on PBEsol structure

ρ: 11.62 g/cm³
Energy relative to the elements, uncorrected: -2.269 eV/atom
Total magnetization: 1.20 μB/atom
Symmetry: I4/mmm, No. 139

Geometry as POSCAR:
```
U2TeO2
1.0
-3.102 2.276 -0.438
-0.923 -1.884 -3.255
-1.314 -4.111 5.056
U Te O
2 1 2
Direct
0.351 0.351 0.702
0.649 0.649 0.298
0.000 0.000 0.000
0.750 0.250 0.500
0.250 0.750 0.500
```

2.
Material: VTeO4
Method: DFT, meta-GGA SCAN
State: single point on PBEsol structure

ρ: 5.49 g/cm³
Energy relative to the elements, uncorrected: -1.888 eV/atom
Total magnetization: 0.17 μB/atom
Symmetry: P2_1/c, No. 14

Geometry as POSCAR:
```
VTeO4
1.0
-2.370 3.430 -2.529
1.722 -1.948 -4.257
-9.215 -7.709 -1.818
V Te O
4 4 16
Direct
0.772 0.040 0.567
0.272 0.460 0.933
0.228 0.960 0.433
0.728 0.540 0.067
0.782 0.993 0.833
0.282 0.507 0.667
0.218 0.007 0.167
0.718 0.493 0.333
0.605 0.270 0.665
0.105 0.230 0.835
0.395 0.730 0.335
0.895 0.770 0.165
0.921 0.857 0.701
0.421 0.643 0.799
0.079 0.143 0.299
0.579 0.357 0.201
0.553 0.204 0.433
0.053 0.296 0.067
0.447 0.796 0.567
0.947 0.704 0.933
0.444 0.726 0.018
0.944 0.774 0.482
0.556 0.274 0.982
0.056 0.226 0.518
```

3.
Material: V2Te2O9
Method: DFT, meta-GGA SCAN
State: single point on PBEsol structure

ρ: 5.01 g/cm³
Energy relative to the elements, uncorrected: -1.846 eV/atom
Total magnetization: 0.00 μB/atom
Symmetry: Fdd2, No. 43

Geometry as POSCAR:
```
V2Te2O9
1.0
-1.062 3.159 -3.562
-3.611 1.655 2.831
11.065 6.928 6.042
V Te O
4 4 18
Direct
0.088 0.490 0.680
0.158 0.060 0.820
0.940 0.842 0.180
0.510 0.912 0.320
0.374 0.345 0.097
0.501 0.973 0.597
0.655 0.626 0.903
0.027 0.499 0.403
0.472 0.960 0.893
0.329 0.317 0.607
0.683 0.671 0.393
0.184 0.816 0.500
0.163 0.649 0.305
0.040 0.528 0.107
0.458 0.157 0.405
0.269 0.026 0.214
0.999 0.197 0.905
0.406 0.392 0.805
0.938 0.195 0.714
0.351 0.837 0.695
0.434 0.566 0.000
0.803 0.001 0.095
0.608 0.594 0.195
0.843 0.542 0.595
0.974 0.731 0.786
0.805 0.062 0.286
```

4.
Material: V2Te2O9
Method: DFT, meta-GGA SCAN
State: single point on PBEsol structure

ρ: 4.99 g/cm³
Energy relative to the elements, uncorrected: -1.848 eV/atom
Total magnetization: 0.00 μB/atom
Symmetry: P2_1/c, No. 14

Geometry as POSCAR:
```
V2Te2O9
1.0
-2.864 -6.215 -2.088
8.624 -3.433 -1.609
0.769 -2.550 9.563
V Te O
8 8 36
Direct
0.996 0.747 0.035
0.004 0.247 0.465
0.004 0.253 0.965
0.996 0.753 0.535
0.706 0.533 0.237
0.294 0.033 0.263
0.294 0.467 0.763
0.706 0.967 0.737
0.452 0.777 0.050
0.548 0.277 0.450
0.548 0.223 0.950
0.452 0.723 0.550
0.145 0.516 0.281
0.855 0.016 0.219
0.855 0.484 0.719
0.145 0.984 0.781
0.643 0.447 0.101
0.357 0.947 0.399
0.357 0.553 0.899
0.643 0.053 0.601
0.446 0.959 0.139
0.554 0.459 0.361
0.554 0.041 0.861
0.446 0.541 0.639
0.926 0.632 0.918
0.074 0.132 0.582
0.074 0.368 0.082
0.926 0.868 0.418
0.801 0.853 0.043
0.199 0.353 0.457
0.199 0.147 0.957
0.801 0.647 0.543
0.938 0.865 0.689
0.062 0.365 0.811
0.062 0.135 0.311
0.938 0.635 0.189
0.176 0.845 0.928
0.824 0.345 0.572
0.824 0.155 0.072
0.176 0.655 0.428
0.910 0.064 0.829
0.090 0.564 0.671
0.595 0.701 0.217
0.910 0.436 0.329
0.242 0.809 0.626
0.758 0.309 0.874
0.758 0.191 0.374
0.242 0.691 0.126
0.595 0.799 0.717
0.405 0.299 0.783
0.405 0.201 0.283
0.090 0.936 0.171
```

5.
Material: YVTe2O8
Method: DFT, meta-GGA SCAN
State: single point on PBEsol structure

ρ: 5.65 g/cm³
Energy relative to the elements, uncorrected: -2.173 eV/atom
Total magnetization: 0.00 μB/atom
Symmetry: Cmce, No. 64

Geometry as POSCAR:
```
YVTe2O8
1.0
5.421 -0.010 0.000
-0.568 5.391 0.000
0.000 0.000 21.050
Y V Te O
4 4 8 32
Direct
0.750 0.750 0.000
0.250 0.250 0.000
0.750 0.750 0.500
0.250 0.250 0.500
0.742 0.758 0.750
0.242 0.258 0.750
0.258 0.242 0.250
0.758 0.742 0.250
0.305 0.695 0.884
0.695 0.305 0.116
0.803 0.197 0.869
0.197 0.803 0.131
0.303 0.697 0.631
0.697 0.303 0.369
0.805 0.195 0.616
0.195 0.805 0.384
0.038 0.563 0.938
0.437 0.962 0.938
0.962 0.437 0.062
0.563 0.038 0.062
0.510 0.490 0.931
0.490 0.510 0.069
0.927 0.073 0.944
0.073 0.927 0.056
0.745 0.856 0.837
0.144 0.255 0.837
0.255 0.144 0.163
0.856 0.745 0.163
0.427 0.573 0.556
0.573 0.427 0.444
0.644 0.755 0.663
0.245 0.356 0.663
0.356 0.245 0.337
0.755 0.644 0.337
0.538 0.063 0.562
0.937 0.462 0.562
0.462 0.937 0.438
0.063 0.538 0.438
0.010 0.990 0.569
0.990 0.010 0.431
0.456 0.544 0.767
0.544 0.456 0.233
0.444 0.056 0.750
0.944 0.556 0.750
0.556 0.944 0.250
0.056 0.444 0.250
0.956 0.044 0.733
0.044 0.956 0.267
```

6.
Material: V5Zn4Te3O18
Method: DFT, meta-GGA SCAN
State: single point on PBEsol structure

ρ: 5.70 g/cm³
Energy relative to the elements, uncorrected: -1.823 eV/atom
Total magnetization: 0.30 μB/atom
Symmetry: C2/c, No. 15

Geometry as POSCAR:
```
V5Zn4Te3O18
1.0
-3.656 -5.499 5.469
4.964 -6.368 2.884
3.098 5.317 8.541
V Zn Te O
10 8 6 36
Direct
0.997 0.700 0.267
0.700 0.997 0.767
0.462 0.868 0.951
0.868 0.462 0.451
0.132 0.538 0.549
0.831 0.169 0.250
0.169 0.831 0.750
0.538 0.132 0.049
0.003 0.300 0.733
0.300 0.003 0.233
0.936 0.650 0.928
0.316 0.617 0.034
0.350 0.064 0.572
0.383 0.684 0.466
0.617 0.316 0.534
0.650 0.936 0.428
0.064 0.350 0.072
0.684 0.383 0.966
0.349 0.343 0.302
0.000 0.000 0.000
0.000 0.000 0.500
0.343 0.349 0.802
0.651 0.657 0.698
0.657 0.651 0.198
0.397 0.080 0.382
0.061 0.749 0.433
0.203 0.628 0.675
0.073 0.082 0.804
0.251 0.939 0.067
0.918 0.927 0.696
0.454 0.373 0.969
0.742 0.110 0.424
0.258 0.890 0.576
0.710 0.778 0.850
0.231 0.576 0.201
0.290 0.222 0.150
0.939 0.251 0.567
0.100 0.443 0.379
0.424 0.769 0.299
0.546 0.627 0.031
0.769 0.424 0.799
0.557 0.900 0.121
0.372 0.797 0.825
0.576 0.231 0.701
0.080 0.397 0.882
0.900 0.557 0.621
0.890 0.258 0.076
0.373 0.454 0.469
0.797 0.372 0.325
0.082 0.073 0.304
0.778 0.710 0.350
0.627 0.546 0.531
0.749 0.061 0.933
0.443 0.100 0.879
0.603 0.920 0.618
0.927 0.918 0.196
0.110 0.742 0.924
0.222 0.290 0.650
0.628 0.203 0.175
0.920 0.603 0.118
```

7.
Material: TeWO2
Method: DFT, meta-GGA SCAN
State: single point on PBEsol structure

ρ: 7.38 g/cm³
Energy relative to the elements, uncorrected: -0.881 eV/atom
Total magnetization: 0.00 μB/atom
Symmetry: Fd-3m, No. 227

Geometry as POSCAR:
```
TeWO2
1.0
6.024 0.000 0.000
3.012 5.217 0.000
3.012 1.739 4.918
Te O W
2 4 2
Direct
0.250 0.250 0.250
0.000 0.000 0.000
0.625 0.625 0.625
0.625 0.625 0.125
0.625 0.125 0.625
0.125 0.625 0.625
0.750 0.750 0.750
0.500 0.500 0.500
```

8.
Material: TeW3O12
Method: DFT, meta-GGA SCAN
State: single point on PBEsol structure

ρ: 7.05 g/cm³
Energy relative to the elements, uncorrected: -1.894 eV/atom
Total magnetization: 0.00 μB/atom
Symmetry: P1, No. 1

Geometry as POSCAR:
```
TeW3O12
1.0
5.189 0.001 0.000
0.000 5.331 0.001
-0.001 0.246 7.415
Te W O
1 3 12
Direct
0.499 0.501 0.501
0.004 0.001 0.482
0.496 0.465 0.001
0.000 0.965 0.982
0.712 0.789 0.452
0.916 0.995 0.745
0.714 0.203 0.041
0.789 0.288 0.452
0.208 0.282 0.958
0.593 0.497 0.751
0.409 0.499 0.249
0.789 0.702 0.040
0.209 0.713 0.546
0.293 0.782 0.957
0.084 0.999 0.245
0.288 0.209 0.545
```